The following is a DFT calculation (GGA+U) of crystalline CoW2O8 at its relaxed geometry.

Values from the calculation:
total energy: -6.84 eV/atom
space-group type: P2/c, No. 13

a b c (Å): 5.9290 5.1286 10.3357
angles (deg): 66.48 90.00 90.00
Last column: nearest neighbours and their distance in Å.
Positions (direct):
Co (0.3708, 0.5000, 0.7500)  4 O 1.85-2.01
Co (0.6292, 0.5000, 0.2500)  4 O 1.85-2.01
O (0.0934, 0.3688, 0.0975)  2 W 1.94-2.13
O (0.0934, 0.6312, 0.4025)  2 W 1.94-2.13
O (0.6068, 0.7556, 0.6215)  1 W 1.80, 1 Co 2.01
O (0.6068, 0.2444, 0.8785)  1 W 1.80, 1 Co 2.01
O (0.3473, 0.2932, 0.6392)  1 Co 1.85, 1 W 1.86
O (0.1071, 0.8360, 0.6050)  2 W 1.93-2.12
O (0.9066, 0.6312, 0.9025)  2 W 1.94-2.13
O (0.6527, 0.2932, 0.1392)  1 Co 1.85, 1 W 1.86
O (0.1071, 0.1640, 0.8950)  2 W 1.93-2.12
O (0.8929, 0.8360, 0.1050)  2 W 1.93-2.12
O (0.3473, 0.7068, 0.8608)  1 Co 1.85, 1 W 1.86
O (0.8929, 0.1640, 0.3950)  2 W 1.93-2.12
O (0.3932, 0.2444, 0.3785)  1 W 1.80, 1 Co 2.01
O (0.3932, 0.7556, 0.1215)  1 W 1.80, 1 Co 2.01
O (0.6527, 0.7068, 0.3608)  1 Co 1.85, 1 W 1.86
O (0.9066, 0.3688, 0.5975)  2 W 1.94-2.13
W (0.8241, 0.2346, 0.0023)  4 O 1.80-1.94
W (0.1759, 0.2346, 0.5023)  4 O 1.80-1.94
W (0.1759, 0.7654, 0.9977)  4 O 1.80-1.94
W (0.8241, 0.7654, 0.4977)  4 O 1.80-1.94